Arrangement P

A relaxed ZnPdSO crystal. Source: OQMD, functional PBE. Values from VASP.

The structure in Quantum ESPRESSO input format:
```
&SYSTEM
  ibrav = 0, nat = 8, ntyp = 4
/
ATOMIC_SPECIES
Pd 106.42 Pd.upf
Zn 65.41 Zn.upf
O 16.00 O.upf
S 32.06 S.upf
CELL_PARAMETERS angstrom
3.638 0.000 0.000
0.000 3.638 0.000
0.000 0.000 9.050
ATOMIC_POSITIONS crystal
Pd 0.250 0.250 0.872
Pd 0.750 0.750 0.128
Zn 0.250 0.250 0.413
Zn 0.750 0.750 0.587
O 0.250 0.750 0.500
O 0.750 0.250 0.500
S 0.250 0.250 0.147
S 0.750 0.750 0.853
```

***

Arrangement Q

A relaxed ZnPdSO crystal. Source: OQMD, functional PBE. Values from VASP.

The structure in Quantum ESPRESSO input format:
```
&SYSTEM
  ibrav = 0, nat = 8, ntyp = 4
/
ATOMIC_SPECIES
Pd 106.42 Pd.upf
O 16.00 O.upf
S 32.06 S.upf
Zn 65.41 Zn.upf
CELL_PARAMETERS angstrom
2.975 0.000 0.000
0.000 5.162 0.000
1.488 0.000 6.914
ATOMIC_POSITIONS crystal
Pd 0.156 0.750 0.689
Pd 0.844 0.250 0.311
O 0.000 0.000 0.000
O 0.000 0.500 0.000
S 0.797 0.750 0.406
S 0.203 0.250 0.594
Zn 0.450 0.750 0.100
Zn 0.550 0.250 0.900
```

***

Arrangement R

A relaxed ZnPdSO crystal. Source: OQMD, functional PBE. Values from VASP.

The structure in Quantum ESPRESSO input format:
```
&SYSTEM
  ibrav = 0, nat = 8, ntyp = 4
/
ATOMIC_SPECIES
S 32.06 S.upf
O 16.00 O.upf
Zn 65.41 Zn.upf
Pd 106.42 Pd.upf
CELL_PARAMETERS angstrom
-2.020 1.961 2.574
-0.522 -3.192 2.023
6.609 1.487 4.052
ATOMIC_POSITIONS crystal
S 0.250 0.250 0.295
S 0.750 0.750 0.705
O 0.250 0.250 0.486
O 0.750 0.750 0.514
Zn 0.250 0.750 0.000
Zn 0.750 0.250 0.000
Pd 0.250 0.250 0.773
Pd 0.750 0.750 0.227
```

***

Arrangement S

A relaxed ZnPdSO crystal. Source: OQMD, functional PBE. Values from VASP.

The structure in Quantum ESPRESSO input format:
```
&SYSTEM
  ibrav = 0, nat = 16, ntyp = 4
/
ATOMIC_SPECIES
Pd 106.42 Pd.upf
Zn 65.41 Zn.upf
S 32.06 S.upf
O 16.00 O.upf
CELL_PARAMETERS angstrom
-3.865 2.845 3.502
1.816 -0.838 2.685
6.011 9.515 -1.098
ATOMIC_POSITIONS crystal
Pd 0.163 0.500 0.259
Pd 0.837 0.000 0.741
Pd 0.663 0.500 0.241
Pd 0.337 0.000 0.759
Zn 0.295 0.000 0.005
Zn 0.705 0.500 0.995
Zn 0.205 0.500 0.505
Zn 0.795 0.000 0.495
S 0.078 0.500 0.844
S 0.578 0.500 0.656
S 0.422 0.000 0.344
S 0.922 0.000 0.156
O 0.121 0.000 0.582
O 0.879 0.500 0.418
O 0.379 0.500 0.082
O 0.621 0.000 0.918
```

***

Stability, highest: arrangement S

***

Arrangement P

A relaxed ZnPdSO crystal. Source: OQMD, functional PBE. Values from VASP.

The structure in Quantum ESPRESSO input format:
```
&SYSTEM
  ibrav = 0, nat = 16, ntyp = 4
/
ATOMIC_SPECIES
O 16.00 O.upf
S 32.06 S.upf
Pd 106.42 Pd.upf
Zn 65.41 Zn.upf
CELL_PARAMETERS angstrom
6.089 0.000 0.000
0.000 7.170 0.000
0.000 0.000 5.735
ATOMIC_POSITIONS crystal
O 0.981 0.870 0.646
O 0.519 0.870 0.146
O 0.481 0.130 0.646
O 0.019 0.130 0.146
S 0.499 0.656 0.646
S 0.001 0.656 0.146
S 0.501 0.344 0.146
S 0.999 0.344 0.646
Pd 0.265 0.139 0.908
Pd 0.735 0.861 0.408
Pd 0.235 0.139 0.408
Pd 0.765 0.861 0.908
Zn 0.628 0.359 0.549
Zn 0.372 0.641 0.049
Zn 0.872 0.359 0.049
Zn 0.128 0.641 0.549
```

***

Arrangement Q

A relaxed ZnPdSO crystal. Source: OQMD, functional PBE. Values from VASP.

The structure in Quantum ESPRESSO input format:
```
&SYSTEM
  ibrav = 0, nat = 8, ntyp = 4
/
ATOMIC_SPECIES
Zn 65.41 Zn.upf
O 16.00 O.upf
Pd 106.42 Pd.upf
S 32.06 S.upf
CELL_PARAMETERS angstrom
-3.153 -2.132 0.989
1.661 -3.192 -1.587
3.506 -1.802 7.292
ATOMIC_POSITIONS crystal
Zn 0.250 0.250 0.880
Zn 0.750 0.750 0.120
O 0.250 0.750 0.500
O 0.750 0.250 0.500
Pd 0.250 0.250 0.569
Pd 0.750 0.750 0.431
S 0.750 0.750 0.843
S 0.250 0.250 0.157
```

***

Stability, highest: arrangement P

***

Arrangement P

A relaxed ZnPdSO crystal. Source: OQMD, functional PBE. Values from VASP.

The structure in Quantum ESPRESSO input format:
```
&SYSTEM
  ibrav = 0, nat = 32, ntyp = 4
/
ATOMIC_SPECIES
O 16.00 O.upf
S 32.06 S.upf
Zn 65.41 Zn.upf
Pd 106.42 Pd.upf
CELL_PARAMETERS angstrom
-3.239 3.894 -4.961
-4.988 -7.418 -2.566
-5.075 1.782 4.713
ATOMIC_POSITIONS crystal
O 0.753 0.238 0.601
O 0.253 0.238 0.899
O 0.247 0.762 0.399
O 0.253 0.262 0.399
O 0.247 0.738 0.899
O 0.747 0.762 0.101
O 0.753 0.262 0.101
O 0.747 0.738 0.601
S 0.059 0.492 0.743
S 0.559 0.008 0.257
S 0.941 0.992 0.757
S 0.059 0.008 0.243
S 0.941 0.508 0.257
S 0.441 0.508 0.243
S 0.559 0.492 0.757
S 0.441 0.992 0.743
Zn 0.251 0.938 0.002
Zn 0.251 0.562 0.502
Zn 0.249 0.062 0.502
Zn 0.249 0.438 0.002
Zn 0.751 0.562 0.998
Zn 0.749 0.438 0.498
Zn 0.751 0.938 0.498
Zn 0.749 0.062 0.998
Pd 0.508 0.260 0.258
Pd 0.492 0.760 0.242
Pd 0.492 0.740 0.742
Pd 0.008 0.240 0.742
Pd 0.008 0.260 0.242
Pd 0.508 0.240 0.758
Pd 0.992 0.760 0.258
Pd 0.992 0.740 0.758
```

***

Arrangement Q

A relaxed ZnPdSO crystal. Source: OQMD, functional PBE. Values from VASP.

The structure in Quantum ESPRESSO input format:
```
&SYSTEM
  ibrav = 0, nat = 8, ntyp = 4
/
ATOMIC_SPECIES
Pd 106.42 Pd.upf
S 32.06 S.upf
O 16.00 O.upf
Zn 65.41 Zn.upf
CELL_PARAMETERS angstrom
0.787 -0.395 3.195
-2.167 -1.400 2.080
4.907 -11.511 -2.633
ATOMIC_POSITIONS crystal
Pd 0.000 0.000 0.003
Pd 0.000 0.000 0.503
S 0.333 0.333 0.401
S 0.667 0.667 0.901
O 0.000 0.000 0.186
O 0.000 0.000 0.686
Zn 0.333 0.333 0.722
Zn 0.667 0.667 0.222
```

***

Arrangement R

A relaxed ZnPdSO crystal. Source: OQMD, functional PBE. Values from VASP.

The structure in Quantum ESPRESSO input format:
```
&SYSTEM
  ibrav = 0, nat = 8, ntyp = 4
/
ATOMIC_SPECIES
S 32.06 S.upf
Zn 65.41 Zn.upf
O 16.00 O.upf
Pd 106.42 Pd.upf
CELL_PARAMETERS angstrom
-3.183 -2.795 0.309
2.075 -2.649 -2.591
2.981 -2.813 5.264
ATOMIC_POSITIONS crystal
S 0.750 0.750 0.743
S 0.250 0.250 0.257
Zn 0.250 0.250 0.775
Zn 0.750 0.750 0.225
O 0.750 0.750 0.511
O 0.250 0.250 0.489
Pd 0.250 0.750 0.000
Pd 0.750 0.250 0.000
```

***

Stability, highest: arrangement Q